Run a
This record from the Alexandria database describes an optimized crystal structure of CoOsPt. The functional is PBE.

Computed properties:
As for the total magnetic moment: 1.36 μB/f.u. Its crystal system is trigonal. The density of states at the Fermi level is 3.492 states/eV/cell. The symmetry is P3m1, No. 156.

POSCAR file:
```
CoOsPt
1.0
-0.249 1.460 -2.265
1.697 -2.107 0.072
-4.789 -3.927 -2.004
Co Os Pt
1 1 1
direct
0.000 0.000 0.010
0.667 0.333 0.315
0.333 0.667 0.675
```



Run b
This record from the Alexandria database describes an optimized crystal structure of CoOsPt. The functional is PBE.

Computed properties:
As for the total magnetic moment: 0.79 μB/f.u. Its crystal system is tetragonal. The density of states at the Fermi level is 3.155 states/eV/cell. The symmetry is I4mm, No. 107.

POSCAR file:
```
CoOsPt
1.0
-3.212 -4.702 1.597
0.294 -5.062 3.044
0.903 5.797 -0.745
Pt Os Co
1 1 1
direct
0.664 0.664 0.000
0.345 0.345 0.000
0.992 0.992 0.000
```



Compare the structures above. Which one is the most stable? run b is.